DFT (PBE-GGA) results for an optimized crystal structure of MnNi5Pt6. Values from VASP.

Geometry as Quantum ESPRESSO input:
```
&SYSTEM
  ibrav = 0, nat = 12, ntyp = 3
/
ATOMIC_SPECIES
Mn 54.94 Mn.upf
Ni 58.69 Ni.upf
Pt 195.08 Pt.upf
CELL_PARAMETERS angstrom
4.5554 0.0000 0.0000
0.0000 5.4813 0.0000
-0.3614 0.0000 6.5607
ATOMIC_POSITIONS angstrom
Mn 0.0000 0.0000 0.0000
Ni 0.0000 2.7406 0.0000
Ni 1.2657 2.7406 4.4095
Ni 1.2697 0.0000 4.3844
Ni 2.9243 0.0000 2.1763
Ni 2.9284 2.7406 2.1512
Pt 0.6536 1.3760 2.2043
Pt 0.6536 4.1053 2.2043
Pt 2.2777 1.3780 0.0000
Pt 2.2777 4.1033 0.0000
Pt 3.5404 1.3760 4.3564
Pt 3.5404 4.1053 4.3564
```

## Properties
energy of formation = -165 meV/atom
space-group type = P2/m
polymorph energy (0 for the lowest one) = 3 meV/atom
DOS(E_F) = 1.53 states/eV per atom
size of the total moment = 9.199 μB per formula unit